Entry from Alexandria via LeMat-Bulk: a relaxed Sc2NiBr crystal (PBE).

Summary:
The calculation puts the polymorph energy (0 for the lowest one) at 0.381 eV/atom. The calculation puts the total energy at -42.8 eV for the cell shown. As for the space group: I-42d (122). Its energy relative to the elements, uncorrected is -0.326 eV per atom.

a = 6.870 Å, b = 6.870 Å, c = 6.131 Å
α = 55.93°, β = 55.93°, γ = 90.00°
Fractional coordinates of all 8 atoms:
Sc  0.589  0.125  0.250
Sc  0.161  0.625  0.250
Sc  0.375  0.411  0.750
Sc  0.875  0.839  0.750
Ni  0.500  0.500  0.000
Ni  0.250  0.750  0.500
Br  0.000  0.000  0.000
Br  0.750  0.250  0.500